1.
# NpNb2Cu

Crystalline NpNb2Cu at its relaxed geometry (PBE-GGA, Alexandria).

a = 10.4985 Å, b = 10.4985 Å, c = 10.4985 Å
α = 15.43°, β = 15.43°, γ = 15.43°
Last column: nearest neighbours and their distance in Å.
Positions (direct):
Np1 0.0000 0.0000 0.0000  6 Np 2.82
Nb1 0.2412 0.2412 0.2412  6 Nb 2.82, 3 Cu 2.83
Nb2 0.7588 0.7588 0.7588  6 Nb 2.82, 3 Cu 2.83
Cu1 0.5000 0.5000 0.5000  6 Cu 2.82, 6 Nb 2.83

## Properties
- Density of states at the Fermi level: 1.4541 states/eV per atom
- Electronic total energy: -35.760 eV/cell

2.
# Ba8CdPt2Rh

Crystalline Ba8CdPt2Rh at its relaxed geometry (PBE-GGA, Alexandria).

a = 7.5477 Å, b = 9.5650 Å, c = 7.7528 Å
α = 90.00°, β = 90.99°, γ = 90.00°
Last column: nearest neighbours and their distance in Å.
Positions (direct):
Ba1 0.2116 0.0000 0.3480  2 Pt 3.17, 1 Cd 3.50
Ba2 0.2351 0.5000 0.3211  1 Rh 3.22, 2 Pt 3.25
Ba3 0.2650 0.2735 0.8228  1 Rh 3.11, 1 Pt 3.18, 1 Cd 3.43
Ba4 0.2650 0.7265 0.8228  1 Rh 3.11, 1 Pt 3.18, 1 Cd 3.43
Ba5 0.7350 0.2735 0.1772  1 Rh 3.11, 1 Pt 3.18, 1 Cd 3.43
Ba6 0.7350 0.7265 0.1772  1 Rh 3.11, 1 Pt 3.18, 1 Cd 3.43
Ba7 0.7649 0.5000 0.6789  1 Rh 3.22, 2 Pt 3.25
Ba8 0.7884 0.0000 0.6520  2 Pt 3.17, 1 Cd 3.50
Cd1 0.5000 0.0000 0.0000  6 Ba 3.43-3.50
Pt1 0.0000 0.2568 0.5000  6 Ba 3.17-3.25
Pt2 0.0000 0.7432 0.5000  6 Ba 3.17-3.25
Rh1 0.5000 0.5000 0.0000  6 Ba 3.11-3.22

## Properties
- Density of states at the Fermi level: 0.5123 states/eV per atom
- Electronic total energy: -40.469 eV/cell

3.
# Er3PuP4

Crystalline Er3PuP4 at its relaxed geometry (PBE-GGA, Alexandria).

a = 6.8692 Å, b = 6.8692 Å, c = 3.9799 Å
α = 90.00°, β = 90.00°, γ = 109.50°
Last column: nearest neighbours and their distance in Å.
Positions (direct):
Er1 0.0000 0.0000 0.0000  6 P 2.81-2.82
Er2 0.0000 0.5000 0.5000  6 P 2.80-2.81
Er3 0.5000 0.0000 0.5000  6 P 2.80-2.81
Pu1 0.5000 0.5000 0.0000  6 P 2.80
P1 0.2507 0.7493 0.0000  1 Pu 2.80, 5 Er 2.81
P2 0.2516 0.2516 0.5000  2 Pu 2.80, 4 Er 2.80-2.82
P3 0.7484 0.7484 0.5000  2 Pu 2.80, 4 Er 2.80-2.82
P4 0.7493 0.2507 0.0000  1 Pu 2.80, 5 Er 2.81

## Properties
- Density of states at the Fermi level: 1.4102 states/eV per atom
- Electronic total energy: -61.559 eV/cell

4.
# InSeI3

Crystalline InSeI3 at its relaxed geometry (PBE-GGA, Alexandria).

a = 5.8393 Å, b = 5.8393 Å, c = 5.8393 Å
α = 90.00°, β = 90.00°, γ = 90.00°
Last column: nearest neighbours and their distance in Å.
Positions (direct):
In1 0.0000 0.0000 0.0000  12 I 4.13
Se1 0.5000 0.5000 0.5000  6 I 2.92
I1 0.0000 0.5000 0.5000  2 Se 2.92
I2 0.5000 0.0000 0.5000  2 Se 2.92
I3 0.5000 0.5000 0.0000  2 Se 2.92

## Properties
- Raw formation energy: -0.0901 eV per atom
- Density of states at the Fermi level: 0.2071 states/eV per atom
- Electronic total energy: -11.324 eV/cell

5.
# Ba2Pa3PdO12

Crystalline Ba2Pa3PdO12 at its relaxed geometry (PBE-GGA, Alexandria).

a = 7.6944 Å, b = 7.6944 Å, c = 7.6944 Å
α = 62.98°, β = 62.98°, γ = 62.98°
Last column: nearest neighbours and their distance in Å.
Positions (direct):
Ba1 0.1741 0.1741 0.1741  3 O 2.75
Ba2 0.8259 0.8259 0.8259  3 O 2.75
Pa1 0.0000 0.5000 0.5000  6 O 2.09-2.21
Pa2 0.5000 0.0000 0.5000  6 O 2.09-2.21
Pa3 0.5000 0.5000 0.0000  6 O 2.09-2.21
Pd1 0.5000 0.5000 0.5000  6 O 2.00
O1 0.1709 0.1709 0.5339  2 Pa 2.21
O2 0.1709 0.5339 0.1709  2 Pa 2.21
O3 0.2000 0.5622 0.5622  1 Pd 2.00, 1 Pa 2.09
O4 0.4378 0.4378 0.8000  1 Pd 2.00, 1 Pa 2.09
O5 0.4378 0.8000 0.4378  1 Pd 2.00, 1 Pa 2.09
O6 0.4661 0.8291 0.8291  2 Pa 2.21
O7 0.5339 0.1709 0.1709  2 Pa 2.21
O8 0.5622 0.2000 0.5622  1 Pd 2.00, 1 Pa 2.09
O9 0.5622 0.5622 0.2000  1 Pd 2.00, 1 Pa 2.09
O10 0.8000 0.4378 0.4378  1 Pd 2.00, 1 Pa 2.09
O11 0.8291 0.4661 0.8291  2 Pa 2.21
O12 0.8291 0.8291 0.4661  2 Pa 2.21

## Properties
- Raw formation energy: -2.6815 eV per atom
- Density of states at the Fermi level: 0.9591 states/eV per atom
- Electronic total energy: -145.292 eV/cell

6.
# Ti4MnSe8

Crystalline Ti4MnSe8 at its relaxed geometry (PBE-GGA, Alexandria).

a = 7.4783 Å, b = 7.4783 Å, c = 7.4783 Å
α = 60.00°, β = 60.00°, γ = 60.00°
Last column: nearest neighbours and their distance in Å.
Positions (direct):
Ti1 0.1149 0.1149 0.1149  6 Se 2.54-2.67
Ti2 0.1149 0.1149 0.6553  6 Se 2.54-2.67
Ti3 0.1149 0.6553 0.1149  6 Se 2.54-2.67
Ti4 0.6553 0.1149 0.1149  6 Se 2.54-2.67
Mn1 0.5000 0.5000 0.5000  4 Se 2.46
Se1 0.3659 0.3659 0.3659  1 Mn 2.46, 3 Ti 2.67
Se2 0.3659 0.3659 0.9022  1 Mn 2.46, 3 Ti 2.67
Se3 0.3659 0.9022 0.3659  1 Mn 2.46, 3 Ti 2.67
Se4 0.3738 0.8754 0.8754  3 Ti 2.54
Se5 0.8754 0.3738 0.8754  3 Ti 2.54
Se6 0.8754 0.8754 0.3738  3 Ti 2.54
Se7 0.8754 0.8754 0.8754  3 Ti 2.54
Se8 0.9022 0.3659 0.3659  1 Mn 2.46, 3 Ti 2.67

## Properties
- Raw formation energy: -1.0134 eV per atom
- Density of states at the Fermi level: 0.6100 states/eV per atom
- Electronic total energy: -81.799 eV/cell